(1)
Here is crystalline K2FeAgI6 at its relaxed geometry from OQMD via LeMat-Bulk. Energies are from PBE. Values from VASP.

Geometry as Quantum ESPRESSO input:
```
&SYSTEM
  ibrav = 0, nat = 10, ntyp = 4
/
ATOMIC_SPECIES
K 39.10 K.upf
Fe 55.84 Fe.upf
Ag 107.87 Ag.upf
I 126.90 I.upf
CELL_PARAMETERS angstrom
6.874 -4.015 0.000
6.874 4.015 0.000
-4.828 0.000 6.714
ATOMIC_POSITIONS crystal
K 0.247 0.247 0.254
K 0.753 0.753 0.746
Fe 0.000 0.000 0.500
Ag 0.500 0.500 0.000
I 0.198 0.710 0.687
I 0.244 0.244 0.828
I 0.290 0.802 0.313
I 0.710 0.198 0.687
I 0.756 0.756 0.172
I 0.802 0.290 0.313
```

Its symmetry is No. 12. Its total DFT energy (no corrections) is -2.895 eV per atom.

=====

(2)
Here is crystalline LuInFeAg at its relaxed geometry from OQMD via LeMat-Bulk. Energies are from PBE. Values from VASP.

Geometry as Quantum ESPRESSO input:
```
&SYSTEM
  ibrav = 0, nat = 4, ntyp = 4
/
ATOMIC_SPECIES
Lu 174.97 Lu.upf
In 114.82 In.upf
Fe 55.84 Fe.upf
Ag 107.87 Ag.upf
CELL_PARAMETERS angstrom
0.000 3.373 3.373
3.373 0.000 3.373
3.373 3.373 0.000
ATOMIC_POSITIONS crystal
Lu 0.000 0.000 0.000
In 0.500 0.500 0.500
Fe 0.750 0.750 0.750
Ag 0.250 0.250 0.250
```

Its symmetry is No. 216. As for the energy above the most stable polymorph in this dataset: 0.00 kcal/mol of atoms.

=====

(3)
Here is crystalline LuInFeAg at its relaxed geometry from OQMD via LeMat-Bulk. Energies are from PBE. Values from VASP.

Geometry as Quantum ESPRESSO input:
```
&SYSTEM
  ibrav = 0, nat = 4, ntyp = 4
/
ATOMIC_SPECIES
Lu 174.97 Lu.upf
In 114.82 In.upf
Fe 55.84 Fe.upf
Ag 107.87 Ag.upf
CELL_PARAMETERS angstrom
0.000 3.400 3.400
3.400 0.000 3.400
3.400 3.400 0.000
ATOMIC_POSITIONS crystal
Lu 0.000 0.000 0.000
In 0.250 0.250 0.250
Fe 0.500 0.500 0.500
Ag 0.750 0.750 0.750
```

Its symmetry is No. 216. As for the energy above the most stable polymorph in this dataset: 1.68 kcal/mol of atoms.

=====

(4)
Here is crystalline InFeAgMo at its relaxed geometry from OQMD via LeMat-Bulk. Energies are from PBE. Values from VASP.

Geometry as Quantum ESPRESSO input:
```
&SYSTEM
  ibrav = 0, nat = 4, ntyp = 4
/
ATOMIC_SPECIES
In 114.82 In.upf
Fe 55.84 Fe.upf
Ag 107.87 Ag.upf
Mo 95.94 Mo.upf
CELL_PARAMETERS angstrom
0.000 3.210 3.210
3.210 0.000 3.210
3.210 3.210 0.000
ATOMIC_POSITIONS crystal
In 0.000 0.000 0.000
Fe 0.250 0.250 0.250
Ag 0.750 0.750 0.750
Mo 0.500 0.500 0.500
```

Its symmetry is No. 216. As for the energy above the most stable polymorph in this dataset: 0.00 kcal/mol of atoms.